# LiCeErTl PBE relaxed
data_LiCeErTl
_chemical_formula_sum 'Li4 Ce4 Er4 Tl4'
_cell_length_a 7.554
_cell_length_b 7.554
_cell_length_c 7.554
_cell_angle_alpha 90.00
_cell_angle_beta 90.00
_cell_angle_gamma 90.00
_space_group_name_H-M_alt 'F -4 3 m'
_space_group_IT_number 216
_space_group_name_Hall 'F -4 2 3'
loop_
_atom_site_label
_atom_site_fract_x
_atom_site_fract_y
_atom_site_fract_z
_atom_site_occupancy
Li1 0.000 0.000 0.000 1
Ce1 0.250 0.250 0.250 1
Er1 0.250 0.250 0.750 1
Tl1 0.000 0.000 0.500 1
# DFT formation energy = -73 meV/atom
# Density = 7.99 g/cm³
# Spin magnetization = 0.322 μB per atom